Here is a relaxed structure of Li2AgBi from the Alexandria database. Energies are from PBEsol.

Output
ΔH_f (0 K) (meV/atom): -372
Offset from the most stable computed form (eV/atom): 0.000
Calculated volume (Å³/cell): 76.3
M_tot (μB per atom): 0.00
Symmetry: F-43m, No. 216

Cell: 4.760 4.760 4.760 Å, 60.00 60.00 60.00°
Fractional coordinates of all 4 atoms:
Bi  0.000  0.000  0.000
Ag  0.250  0.250  0.250
Li  0.750  0.750  0.750
Li  0.500  0.500  0.500